Entry from Alexandria via LeMat-Bulk: crystalline NaAg3Se at its relaxed geometry (PBE-GGA).

Output
N(E_F) (states/eV per atom): 0.0004
Uncorrected formation energy (eV per atom): 0.769
Electronic total energy (eV/atom): -1.90
Energy above the most stable polymorph in this dataset (meV/atom): 565.8

Cell: 4.948 4.948 4.948 Å, 90.00 90.00 90.00°
Positions (direct):
Ag1 0.000 0.500 0.000
Ag2 0.500 0.000 0.000
Ag3 0.000 0.000 0.500
Se1 0.500 0.500 0.500
Na1 0.000 0.000 0.000